(one)
GeWSe3 | PBE | relaxed

## Properties
Fermi-level density of states = 5.22 states/eV/cell
M_tot = 0.6 μB/f.u.
Space-group type = No. 221

The structure in CIF format:
```
data_GeWSe3
_space_group_name_H-M_alt 'P 1'
_space_group_IT_number 1
_cell_length_a 4.956
_cell_length_b 4.956
_cell_length_c 4.956
_cell_angle_alpha 90.00
_cell_angle_beta 90.00
_cell_angle_gamma 90.00
loop_
_space_group_symop_operation_xyz
'x,y,z'
loop_
_atom_site_label
_atom_site_type_symbol
_atom_site_fract_x
_atom_site_fract_y
_atom_site_fract_z
Ge1 Ge 0.500 0.500 0.500
Se1 Se 0.000 0.500 0.000
Se2 Se 0.000 0.000 0.500
Se3 Se 0.500 0.000 0.000
W1 W 0.000 0.000 0.000
```

(two)
GeWSe3 | PBE | relaxed

## Properties
Fermi-level density of states = 2.71 states/eV/cell
M_tot = 2.9 μB/f.u.
Space-group type = No. 221

The structure in CIF format:
```
data_GeWSe3
_space_group_name_H-M_alt 'P 1'
_space_group_IT_number 1
_cell_length_a 4.890
_cell_length_b 4.890
_cell_length_c 4.890
_cell_angle_alpha 90.00
_cell_angle_beta 90.00
_cell_angle_gamma 90.00
loop_
_space_group_symop_operation_xyz
'x,y,z'
loop_
_atom_site_label
_atom_site_type_symbol
_atom_site_fract_x
_atom_site_fract_y
_atom_site_fract_z
Ge1 Ge 0.000 0.000 0.000
Se1 Se 0.000 0.500 0.000
Se2 Se 0.000 0.000 0.500
Se3 Se 0.500 0.000 0.000
W1 W 0.500 0.500 0.500
```

Which structure loses on stability? (two) does.